[1]
DFT (SCAN) results for a crystal of Ta2CoSe relaxed with PBEsol.

a = 3.580 Å, b = 3.365 Å, c = 9.956 Å
α = 90.00°, β = 90.00°, γ = 90.00°
Space group Amm2 (No. 38)
Inequivalent atoms, fractional coordinates:
Ta 0.000 0.000 0.000 (multiplicity 2)
Ta 0.500 0.000 0.334 (multiplicity 2)
Co 0.000 0.000 0.741 (multiplicity 2)
Se 0.500 0.000 0.604 (multiplicity 2)

Output
**Theoretical density**: 13.84 g/cm³
**Energy relative to the elements, uncorrected**: -0.10 eV per atom
**Total energy**: -170.94 eV per formula unit
**Magnetic moment**: 0.0 μB per formula unit
**Crystal system**: orthorhombic



[2]
DFT (SCAN) results for a crystal of FeIrAu2 relaxed with PBEsol.

a = 9.141 Å, b = 2.820 Å, c = 4.757 Å
α = 90.00°, β = 102.28°, γ = 90.00°
Space group Cm (No. 8)
Inequivalent atoms, fractional coordinates:
Fe 0.000 0.000 0.000 (multiplicity 2)
Ir 0.233 0.500 0.216 (multiplicity 2)
Au 0.251 0.000 0.737 (multiplicity 2)
Au 0.490 0.000 0.480 (multiplicity 2)

Output
**Theoretical density**: 17.79 g/cm³
**Energy of formation**: 155 meV per atom
**Total energy**: -226.92 eV per formula unit
**Magnetic moment**: 3.7 μB per formula unit
**Crystal system**: monoclinic



[3]
DFT (SCAN) results for a crystal of BeTlSe2 relaxed with PBEsol.

a = 4.301 Å, b = 3.780 Å, c = 6.393 Å
α = 90.00°, β = 102.70°, γ = 90.00°
Space group Pm (No. 6)
Inequivalent atoms, fractional coordinates:
Be 0.000 0.000 0.000 (multiplicity 1)
Tl 0.262 0.500 0.594 (multiplicity 1)
Se 0.175 0.500 0.142 (multiplicity 1)
Se 0.782 0.000 0.660 (multiplicity 1)

Output
**Theoretical density**: 6.08 g/cm³
**Energy relative to the elements, uncorrected**: -0.41 eV per atom
**Total energy**: -118.52 eV per formula unit
**Magnetic moment**: 0.0 μB per formula unit
**Crystal system**: monoclinic



[4]
DFT (SCAN) results for a crystal of ScAl relaxed with PBEsol.

a = 3.342 Å, b = 3.342 Å, c = 3.342 Å
α = 90.00°, β = 90.00°, γ = 90.00°
Space group Pm-3m (No. 221)
Inequivalent atoms, fractional coordinates:
Sc 0.000 0.000 0.000 (multiplicity 1)
Al 0.500 0.500 0.500 (multiplicity 1)

Output
**Theoretical density**: 3.20 g/cm³
**Energy of formation**: -466 meV per atom
**Total energy**: -22.92 eV per formula unit
**Magnetic moment**: 0.0 μB per formula unit
**Crystal system**: cubic



[5]
DFT (SCAN) results for a crystal of KNaZrSi3H4O11 relaxed with PBEsol.

a = 13.005 Å, b = 6.743 Å, c = 11.797 Å
α = 90.00°, β = 90.00°, γ = 90.00°
Space group Pna2_1 (No. 33)
Inequivalent atoms, fractional coordinates:
K 0.149 0.086 0.000 (multiplicity 4)
Na 0.111 0.677 0.748 (multiplicity 4)
Zr 0.054 0.352 0.499 (multiplicity 4)
Si 0.084 0.610 0.247 (multiplicity 4)
Si 0.111 0.854 0.463 (multiplicity 4)
Si 0.212 0.613 0.029 (multiplicity 4)
H 0.083 0.130 0.733 (multiplicity 4)
H 0.162 0.237 0.265 (multiplicity 4)
H 0.177 0.007 0.262 (multiplicity 4)
H 0.197 0.052 0.733 (multiplicity 4)
O 0.018 0.343 0.672 (multiplicity 4)
O 0.042 0.048 0.485 (multiplicity 4)
O 0.071 0.413 0.325 (multiplicity 4)
O 0.074 0.657 0.530 (multiplicity 4)
O 0.105 0.640 0.963 (multiplicity 4)
O 0.111 0.806 0.325 (multiplicity 4)
O 0.128 0.026 0.766 (multiplicity 4)
O 0.186 0.581 0.166 (multiplicity 4)
O 0.207 0.131 0.231 (multiplicity 4)
O 0.209 0.297 0.518 (multiplicity 4)
O 0.232 0.904 0.491 (multiplicity 4)

Output
**Theoretical density**: 2.68 g/cm³
**Total energy**: -208.11 eV per formula unit
**Magnetic moment**: 0.0 μB per formula unit
**Crystal system**: orthorhombic



[6]
DFT (SCAN) results for a crystal of KZr2P relaxed with PBEsol.

a = 3.5959 Å, b = 3.5959 Å, c = 28.9221 Å
α = 90.00°, β = 90.00°, γ = 120.00°
Space group R-3m (No. 166, hexagonal axes)
Inequivalent atoms, fractional coordinates:
K 0.0000 0.0000 0.0000 (multiplicity 3)
Zr 0.0000 0.0000 0.2157 (multiplicity 6)
P 0.0000 0.0000 0.5000 (multiplicity 3)

Output
**Theoretical density**: 3.88 g/cm³
**Energy of formation**: -391 meV per atom
**Total energy**: -81.69 eV per formula unit
**Magnetic moment**: 0.0 μB per formula unit
**Crystal system**: trigonal